No. 1
Crystalline Nd2Fe15Co2 at its relaxed geometry. Source: OQMD via LeMat-Bulk, functional GGA-PBE.

## Properties
The formation energy comes out at 0.9 eV per formula unit. As for the total magnetic moment: 37.54 μB per formula unit.

Lattice parameters (Å, degrees): 6.4178 6.4178 6.4178 97.32 82.68 97.32
Positions (direct):
Fe 0.0000 0.0000 0.5000
Fe 0.1544 0.3411 0.6589
Fe 0.5000 0.0000 0.0000
Fe 0.7102 0.0000 0.2898
Fe 0.0000 0.7102 0.7102
Fe 0.7102 0.7102 0.0000
Fe 0.3411 0.6589 0.8456
Fe 0.2898 0.0000 0.7102
Fe 0.0000 0.5000 0.0000
Fe 0.8456 0.6589 0.3411
Fe 0.2898 0.2898 0.0000
Fe 0.6589 0.3411 0.1544
Fe 0.3411 0.1544 0.3411
Fe 0.6589 0.8456 0.6589
Fe 0.0000 0.2898 0.2898
Nd 0.3415 0.6585 0.3415
Nd 0.6585 0.3415 0.6585
Co 0.9066 0.0934 0.9066
Co 0.0934 0.9066 0.0934



No. 2
Crystalline YEr3Pb2C2 at its relaxed geometry. Source: OQMD via LeMat-Bulk, functional GGA-PBE.

## Properties
As for the total magnetic moment: 0.02 μB per formula unit. The value obtained for the final energy is -6.2719 eV per atom.

Lattice parameters (Å, degrees): 3.6151 3.6151 15.9870 90.00 90.00 120.00
Positions (direct):
C 0.3333 0.6667 0.0014
C 0.3333 0.6667 0.5000
Er 0.0000 0.0000 0.5820
Er 0.6667 0.3333 0.4181
Er 0.6667 0.3333 0.0824
Pb 0.0000 0.0000 0.2501
Pb 0.6667 0.3333 0.7493
Y 0.0000 0.0000 0.9168



No. 3
Crystalline Np at its relaxed geometry. Source: OQMD via LeMat-Bulk, functional GGA-PBE.

## Properties
The value obtained for the energy above the most stable polymorph in this dataset is 8.6 kJ/mol of atoms. The formation energy comes out at 0.1 eV per formula unit. As for the total magnetic moment: 0.00 μB per formula unit.

Lattice parameters (Å, degrees): 3.4179 3.7030 3.7030 102.30 62.52 117.48
Positions (direct):
Np 0.2500 0.5000 0.5000
Np 0.0000 0.0000 0.0000



No. 4
Crystalline WBr2 at its relaxed geometry. Source: OQMD via LeMat-Bulk, functional GGA-PBE.

## Properties
The value obtained for the energy above the most stable polymorph in this dataset is 94.4 kJ/mol of atoms. As for the total magnetic moment: 0.71 μB per formula unit.

Lattice parameters (Å, degrees): 5.9960 5.9960 3.9136 90.00 90.00 90.00
Positions (direct):
W 0.5000 0.5000 0.5000
W 0.0000 0.0000 0.0000
Br 0.3007 0.3007 0.0000
Br 0.1993 0.8007 0.5000
Br 0.8007 0.1993 0.5000
Br 0.6993 0.6993 0.0000



No. 5
Crystalline ScCo2Pd3 at its relaxed geometry. Source: OQMD via LeMat-Bulk, functional GGA-PBE.

## Properties
The formation energy comes out at -0.9 eV per formula unit. As for the total magnetic moment: 0.03 μB per formula unit.

Lattice parameters (Å, degrees): 4.2529 4.2529 5.4393 90.00 90.00 120.00
Positions (direct):
Pd 0.0000 0.0000 0.0000
Pd 0.3333 0.6667 0.2448
Pd 0.6667 0.3333 0.7552
Sc 0.0000 0.0000 0.5000
Co 0.3333 0.6667 0.7619
Co 0.6667 0.3333 0.2381



No. 6
Crystalline Tl2Ag9 at its relaxed geometry. Source: OQMD via LeMat-Bulk, functional GGA-PBE.

## Properties
The value obtained for the final energy is -2.6426 eV per atom.

Lattice parameters (Å, degrees): 3.0075 3.0075 29.7802 90.00 90.00 120.00
Positions (direct):
Ag 0.6667 0.3333 0.3449
Ag 0.3333 0.6667 0.4226
Ag 0.6667 0.3333 0.8119
Ag 0.0000 0.0000 0.2668
Ag 0.3333 0.6667 0.6551
Ag 0.0000 0.0000 0.7332
Ag 0.6667 0.3333 0.5774
Ag 0.0000 0.0000 0.5000
Ag 0.3333 0.6667 0.1881
Tl 0.6667 0.3333 0.0961
Tl 0.3333 0.6667 0.9039



No. 7
Crystalline TaNbAlCo at its relaxed geometry. Source: OQMD via LeMat-Bulk, functional GGA-PBE.

## Properties
The value obtained for the energy above the most stable polymorph in this dataset is 0.0 kJ/mol of atoms. As for the total magnetic moment: 1.94 μB per formula unit.

Lattice parameters (Å, degrees): 4.4414 4.4414 4.4414 60.00 60.00 60.00
Positions (direct):
Nb 0.2500 0.2500 0.2500
Al 0.0000 0.0000 0.0000
Ta 0.5000 0.5000 0.5000
Co 0.7500 0.7500 0.7500



No. 8
Crystalline NiB at its relaxed geometry. Source: OQMD via LeMat-Bulk, functional GGA-PBE.

## Properties
As for the total magnetic moment: 0.00 μB per formula unit. The value obtained for the final energy is -6.1010 eV per atom.

Lattice parameters (Å, degrees): 3.0313 2.6255 4.3193 90.00 90.00 90.00
Positions (direct):
Ni 0.2500 0.5000 0.7329
Ni 0.7500 0.5000 0.2671
B 0.7500 0.0000 0.8861
B 0.2500 0.0000 0.1139



Repeat the sixth record exactly.
Crystalline Tl2Ag9 at its relaxed geometry. Source: OQMD via LeMat-Bulk, functional GGA-PBE.

## Properties
The value obtained for the final energy is -2.6426 eV per atom.

Lattice parameters (Å, degrees): 3.0075 3.0075 29.7802 90.00 90.00 120.00
Positions (direct):
Ag 0.6667 0.3333 0.3449
Ag 0.3333 0.6667 0.4226
Ag 0.6667 0.3333 0.8119
Ag 0.0000 0.0000 0.2668
Ag 0.3333 0.6667 0.6551
Ag 0.0000 0.0000 0.7332
Ag 0.6667 0.3333 0.5774
Ag 0.0000 0.0000 0.5000
Ag 0.3333 0.6667 0.1881
Tl 0.6667 0.3333 0.0961
Tl 0.3333 0.6667 0.9039